1.
ZrTa2Ni: relaxed, PBE.

Lattice parameters (Å, degrees): 2.9352 4.7644 5.1279 90.00 100.05 90.00
Last column: nearest neighbours and their distance in Å.
Space group P2/m (No. 10)
Unique sites:
Zr 0.0000 0.0000 0.0000 [1 per cell]  2 Ni 2.72, 4 Ta 2.91, 2 Zr 2.94
Ta 0.2831 0.5000 0.7436 [2 per cell]  5 Ta 2.71-3.00, 2 Ni 2.81, 2 Zr 2.91
Ni 0.5000 0.0000 0.5000 [1 per cell]  2 Zr 2.72, 4 Ta 2.81, 2 Ni 2.94

Output
The calculated formation energy is 105 meV/atom. For the density of states at the Fermi level, the calculation gives 1.082 states/eV/atom. The energy above the most stable polymorph in this dataset is 174 meV per atom. As for the crystal system: monoclinic. The total energy is -9.404 eV/atom.

=====

2.
KTc2Hg: relaxed, PBE.

Lattice parameters (Å, degrees): 2.8012 5.0499 5.5207 90.00 90.00 90.00
Last column: nearest neighbours and their distance in Å.
Space group Pmmm (No. 47)
Unique sites:
K 0.0000 0.0000 0.0000 [1 per cell]  2 K 2.80, 4 Hg 2.89, 4 Tc 3.10
Tc 0.0000 0.5000 0.5000 [1 per cell]  6 Tc 2.80-2.89, 4 Hg 3.10
Tc 0.5000 0.0000 0.5000 [1 per cell]  6 Tc 2.80-2.89, 4 K 3.10
Hg 0.5000 0.5000 0.0000 [1 per cell]  2 Hg 2.80, 4 K 2.89, 4 Tc 3.10

Output
The calculated formation energy is 1195 meV/atom. For the density of states at the Fermi level, the calculation gives 1.489 states/eV/atom. As for the crystal system: orthorhombic. The total energy is -4.337 eV/atom.

=====

Question: Which value of calculated formation energy does entry 1 give?
Answer: 105 meV/atom